Entry 1:
# Hf5Al3

A relaxed Hf5Al3 crystal (PBE, Alexandria).

```
data_Hf5Al3
_chemical_formula_sum 'Hf10 Al6'
_cell_length_a 8.1068
_cell_length_b 8.1068
_cell_length_c 5.7035
_cell_angle_alpha 90.00
_cell_angle_beta 90.00
_cell_angle_gamma 120.00
_symmetry_space_group_name_H-M 'P 63/m c m'
_symmetry_Int_Tables_number 193
_symmetry_space_group_name_Hall '-P 6c 2'
loop_
_atom_site_label
_atom_site_fract_x
_atom_site_fract_y
_atom_site_fract_z
_atom_site_occupancy
Hf1 0.0000 0.2377 0.2500 1
Hf2 0.3333 0.6667 0.0000 1
Al1 0.0000 0.3969 0.7500 1
```

Properties
energy of formation = -0.295 eV/atom
total moment = 0.000 μB per atom
crystal system = hexagonal
Fermi-level density of states = 15.73 states/eV/cell
energy above the most stable polymorph in this dataset = 0 meV/atom

Entry 2:
# ScFe4Se

A relaxed ScFe4Se crystal (PBE, Alexandria).

```
data_ScFe4Se
_chemical_formula_sum 'Sc4 Fe16 Se4'
_cell_length_a 6.946
_cell_length_b 6.946
_cell_length_c 6.946
_cell_angle_alpha 90.00
_cell_angle_beta 90.00
_cell_angle_gamma 90.00
_symmetry_space_group_name_H-M 'F -4 3 m'
_symmetry_Int_Tables_number 216
_symmetry_space_group_name_Hall 'F -4 2 3'
loop_
_atom_site_label
_atom_site_fract_x
_atom_site_fract_y
_atom_site_fract_z
_atom_site_occupancy
Sc1 0.000 0.000 0.000 1
Fe1 0.126 0.126 0.374 1
Se1 0.250 0.250 0.750 1
```

Properties
total moment = 1.332 μB per atom
crystal system = cubic
Fermi-level density of states = 28.18 states/eV/cell
DFT total energy = -7.257 eV per atom

Entry 3:
# YAgIr4

A relaxed YAgIr4 crystal (PBE, Alexandria).

```
data_YAgIr4
_chemical_formula_sum 'Y4 Ag4 Ir16'
_cell_length_a 7.487
_cell_length_b 7.487
_cell_length_c 7.487
_cell_angle_alpha 90.00
_cell_angle_beta 90.00
_cell_angle_gamma 90.00
_symmetry_space_group_name_H-M 'F -4 3 m'
_symmetry_Int_Tables_number 216
_symmetry_space_group_name_Hall 'F -4 2 3'
loop_
_atom_site_label
_atom_site_fract_x
_atom_site_fract_y
_atom_site_fract_z
_atom_site_occupancy
Y1 0.000 0.000 0.000 1
Ag1 0.250 0.250 0.750 1
Ir1 0.125 0.125 0.375 1
```

Properties
energy of formation = -0.262 eV/atom
total moment = 0.000 μB per atom
crystal system = cubic
Fermi-level density of states = 26.87 states/eV/cell